*one*
First-principles (PBE-GGA) data for a relaxed CdGaAg4 crystal, as listed in Alexandria via LeMat-Bulk.

abc: 5.5436 5.5436 5.5436
angles: 60.00 60.00 60.00
With the nearest neighbours (Å) after each atom.
Fractional coordinates of all 6 atoms:
Ag  0.6250  0.6250  0.6250  6 Ag 2.77
Ga  0.2500  0.2500  0.2500  12 Ag 3.25, 4 Cd 3.39
Cd  0.0000  0.0000  0.0000  12 Ag 3.25, 4 Ga 3.39
Ag  0.6250  0.6250  0.1251  6 Ag 2.77
Ag  0.6250  0.1251  0.6250  6 Ag 2.77
Ag  0.1251  0.6250  0.6250  6 Ag 2.77

- magnetic moment (μB/atom) = 0.0000
- Fermi-level density of states (states/eV per cell) = 1.6

*two*
First-principles (PBE-GGA) data for a relaxed CdGaAg4 crystal, as listed in Alexandria via LeMat-Bulk.

abc: 5.9036 7.8856 9.2275
angles: 118.70 129.10 41.11
With the nearest neighbours (Å) after each atom.
Fractional coordinates of all 12 atoms:
Ag  0.1357  0.4072  0.6645  3 Ga 2.90-2.97, 6 Ag 2.92-2.99, 3 Cd 2.95-3.03
Ag  0.8643  0.5928  0.3355  3 Ga 2.90-2.97, 6 Ag 2.92-2.99, 3 Cd 2.95-3.03
Ga  0.1283  0.0876  0.3293  9 Ag 2.83-3.06, 1 Ga 2.95, 2 Cd 3.02-3.03
Ag  0.6198  0.0859  0.3379  3 Ga 2.84-3.06, 6 Ag 2.93-2.99, 3 Cd 2.93-3.02
Cd  0.6410  0.4116  0.6748  9 Ag 2.89-3.03, 2 Ga 3.02-3.03, 1 Cd 3.03
Ga  0.8717  0.9124  0.6707  9 Ag 2.83-3.06, 1 Ga 2.95, 2 Cd 3.02-3.03
Cd  0.3590  0.5884  0.3252  9 Ag 2.89-3.03, 2 Ga 3.02-3.03, 1 Cd 3.03
Ag  0.8801  0.2477  0.0049  2 Ga 2.83-2.95, 1 Cd 2.92, 9 Ag 2.92-3.02
Ag  0.1199  0.7523  0.9951  2 Ga 2.83-2.95, 1 Cd 2.92, 9 Ag 2.92-3.02
Ag  0.3861  0.2458  0.0045  2 Cd 2.89-2.93, 1 Ga 2.92, 9 Ag 2.92-3.03
Ag  0.3802  0.9141  0.6621  3 Ga 2.84-3.06, 6 Ag 2.93-2.99, 3 Cd 2.93-3.02
Ag  0.6139  0.7542  0.9955  2 Cd 2.89-2.93, 1 Ga 2.92, 9 Ag 2.92-3.03

- magnetic moment (μB/atom) = 0.0000
- Fermi-level density of states (states/eV per cell) = 3.0

Relative energies with respect to the most stable structure, expressed in kJ/mol of atoms: *one* 10.4; *two* 0.0.

*one*
First-principles (PBE-GGA) data for a relaxed CdGaAg5 crystal, as listed in Alexandria via LeMat-Bulk.

abc: 7.5677 5.5345 5.8850
angles: 118.05 130.01 90.00
With the nearest neighbours (Å) after each atom.
Fractional coordinates of all 7 atoms:
Ga  0.4455  0.0000  0.0000  6 Ag 2.74-2.77
Ag  0.9516  0.1848  0.3696  4 Ag 2.63-2.86, 1 Ga 2.76
Ag  0.1300  0.2413  0.0000  5 Ag 2.67-2.95, 1 Ga 2.74, 1 Cd 2.74
Cd  0.8210  0.5000  0.0000  3 Ag 2.65-2.74
Ag  0.1300  0.7587  0.0000  5 Ag 2.67-2.95, 1 Ga 2.74, 1 Cd 2.74
Ag  0.4706  0.5000  0.0000  1 Cd 2.65, 4 Ag 2.72-2.95, 2 Ga 2.77
Ag  0.5820  0.8152  0.6304  4 Ag 2.63-2.86, 1 Ga 2.76

- magnetic moment (μB/atom) = 0.0000
- Fermi-level density of states (states/eV per cell) = 2.8

*two*
First-principles (PBE-GGA) data for a relaxed CdGaAg5 crystal, as listed in Alexandria via LeMat-Bulk.

abc: 4.2688 4.2688 7.3111
angles: 90.00 90.00 90.00
With the nearest neighbours (Å) after each atom.
Fractional coordinates of all 7 atoms:
Ga  0.5000  0.5000  0.0000  8 Ag 2.66
Ag  0.0000  0.5000  0.7825  2 Ga 2.66, 2 Ag 2.97, 2 Cd 2.97
Ag  0.0000  0.5000  0.2175  2 Ga 2.66, 2 Ag 2.97, 2 Cd 2.97
Ag  0.5000  0.5000  0.5000  8 Ag 2.97, 4 Cd 3.02
Ag  0.5000  0.0000  0.2175  2 Ga 2.66, 2 Cd 2.97, 2 Ag 2.97
Cd  0.0000  0.0000  0.5000  12 Ag 2.97-3.02
Ag  0.5000  0.0000  0.7825  2 Ga 2.66, 2 Cd 2.97, 2 Ag 2.97

- magnetic moment (μB/atom) = 0.0000
- Fermi-level density of states (states/eV per cell) = 2.5

Relative energies with respect to the most stable structure, expressed in kJ/mol of atoms: *one* 16.9; *two* 0.0.

*one*
First-principles (PBE-GGA) data for a relaxed Cd2GaAg6 crystal, as listed in Alexandria via LeMat-Bulk.

abc: 4.2805 8.8022 8.8027
angles: 90.00 90.00 90.00
With the nearest neighbours (Å) after each atom.
Fractional coordinates of all 18 atoms:
Ag  0.9999  0.3334  0.4903  3 Cd 2.91-2.94, 1 Ga 2.94, 8 Ag 2.94-3.03
Ag  0.0000  0.9902  0.8334  3 Cd 2.91-2.94, 1 Ga 2.94, 8 Ag 2.94-3.03
Ag  0.4999  0.1515  0.6515  2 Ga 2.85, 4 Cd 2.93-3.00, 6 Ag 2.98-3.03
Ag  0.5001  0.8334  0.0097  3 Cd 2.91-2.94, 1 Ga 2.94, 8 Ag 2.94-3.03
Cd  0.0001  0.6798  0.1798  10 Ag 2.91-3.00, 2 Ga 3.10
Cd  0.9999  0.3202  0.8202  10 Ag 2.91-3.00, 2 Ga 3.10
Ga  0.5000  0.5000  0.0000  8 Ag 2.85-2.94, 4 Cd 3.10
Ag  0.9999  0.3485  0.1515  2 Ga 2.85, 4 Cd 2.93-3.00, 6 Ag 2.98-3.03
Ag  0.0001  0.6666  0.5097  3 Cd 2.91-2.94, 1 Ga 2.94, 8 Ag 2.94-3.03
Ga  0.0000  0.0000  0.5000  8 Ag 2.85-2.94, 4 Cd 3.10
Ag  0.4999  0.1666  0.9903  3 Cd 2.91-2.94, 1 Ga 2.94, 8 Ag 2.94-3.03
Ag  0.5000  0.5098  0.3334  3 Cd 2.91-2.94, 1 Ga 2.94, 8 Ag 2.94-3.03
Cd  0.4999  0.1798  0.3202  10 Ag 2.91-3.00, 2 Ga 3.10
Ag  0.0001  0.6515  0.8485  2 Ga 2.85, 4 Cd 2.93-3.00, 6 Ag 2.98-3.03
Ag  0.5001  0.8485  0.3485  2 Ga 2.85, 4 Cd 2.93-3.00, 6 Ag 2.98-3.03
Cd  0.5001  0.8202  0.6798  10 Ag 2.91-3.00, 2 Ga 3.10
Ag  0.5000  0.4902  0.6666  3 Cd 2.91-2.94, 1 Ga 2.94, 8 Ag 2.94-3.03
Ag  0.0000  0.0098  0.1666  3 Cd 2.91-2.94, 1 Ga 2.94, 8 Ag 2.94-3.03

- magnetic moment (μB/atom) = 0.0000
- Fermi-level density of states (states/eV per cell) = 4.3

*two*
First-principles (PBE-GGA) data for a relaxed Cd2GaAg6 crystal, as listed in Alexandria via LeMat-Bulk.

abc: 6.9044 7.6964 7.6964
angles: 77.52 66.33 66.33
With the nearest neighbours (Å) after each atom.
Fractional coordinates of all 18 atoms:
Ag  0.1424  0.9922  0.6030  6 Ag 2.80-2.99, 1 Ga 2.89, 3 Cd 2.90-3.01
Ag  0.3576  0.3970  0.0078  6 Ag 2.80-2.99, 1 Ga 2.89, 3 Cd 2.90-3.01
Cd  0.9045  0.3748  0.2476  8 Ag 2.87-3.02, 1 Ga 3.21
Cd  0.0955  0.6252  0.7524  8 Ag 2.87-3.02, 1 Ga 3.21
Ag  0.1916  0.8223  0.9778  2 Ga 2.79-2.81, 6 Ag 2.85-2.99, 2 Cd 2.94-2.96
Ag  0.4308  0.6623  0.3807  1 Ga 2.76, 5 Ag 2.80-2.90, 3 Cd 2.87-3.02
Ag  0.5692  0.3377  0.6193  1 Ga 2.76, 5 Ag 2.80-2.90, 3 Cd 2.87-3.02
Ag  0.8576  0.0078  0.3970  6 Ag 2.80-2.99, 1 Ga 2.89, 3 Cd 2.90-3.01
Ag  0.8084  0.1777  0.0222  2 Ga 2.79-2.81, 6 Ag 2.85-2.99, 2 Cd 2.94-2.96
Ga  0.7500  0.8283  0.1717  8 Ag 2.76-2.89
Ga  0.2500  0.1717  0.8283  8 Ag 2.76-2.89
Ag  0.6424  0.6030  0.9922  6 Ag 2.80-2.99, 1 Ga 2.89, 3 Cd 2.90-3.01
Ag  0.6916  0.9778  0.8223  2 Ga 2.79-2.81, 6 Ag 2.85-2.99, 2 Cd 2.94-2.96
Ag  0.9308  0.3807  0.6623  1 Ga 2.76, 5 Ag 2.80-2.90, 3 Cd 2.87-3.02
Ag  0.3084  0.0222  0.1777  2 Ga 2.79-2.81, 6 Ag 2.85-2.99, 2 Cd 2.94-2.96
Cd  0.5955  0.7524  0.6252  8 Ag 2.87-3.02, 1 Ga 3.21
Cd  0.4045  0.2476  0.3748  8 Ag 2.87-3.02, 1 Ga 3.21
Ag  0.0692  0.6193  0.3377  1 Ga 2.76, 5 Ag 2.80-2.90, 3 Cd 2.87-3.02

- magnetic moment (μB/atom) = 0.0000
- Fermi-level density of states (states/eV per cell) = 4.9

Relative energies with respect to the most stable structure, expressed in kJ/mol of atoms: *one* 0.0; *two* 4.0.

*one*
First-principles (PBE-GGA) data for a relaxed Cd4Ga2Ag3 crystal, as listed in Alexandria via LeMat-Bulk.

abc: 3.0992 3.0992 21.5140
angles: 90.00 90.00 120.00
With the nearest neighbours (Å) after each atom.
Fractional coordinates of all 9 atoms:
Ag  0.6667  0.3333  0.6584  6 Cd 2.96, 6 Ag 3.10
Cd  0.6667  0.3333  0.2094  1 Ga 2.73, 3 Ag 2.96
Cd  0.6667  0.3333  0.4292  3 Ag 2.97, 9 Cd 3.10-3.14
Cd  0.0000  0.0000  0.7679  3 Ag 2.96, 3 Ga 3.01, 6 Cd 3.10
Ga  0.6667  0.3333  0.8801  3 Ag 2.82, 3 Cd 3.01, 6 Ga 3.10
Ga  0.6667  0.3333  0.0826  1 Cd 2.73, 3 Ag 2.82
Cd  0.0000  0.0000  0.5491  3 Ag 2.96, 9 Cd 3.10-3.14
Ag  0.0000  0.0000  0.3192  6 Cd 2.96-2.97, 6 Ag 3.10
Ag  0.0000  0.0000  0.9814  6 Ga 2.82, 6 Ag 3.10

- magnetic moment (μB/atom) = 0.0000
- Fermi-level density of states (states/eV per cell) = 2.8

*two*
First-principles (PBE-GGA) data for a relaxed Cd4Ga2Ag3 crystal, as listed in Alexandria via LeMat-Bulk.

abc: 5.1744 8.5773 8.5774
angles: 73.15 81.56 81.56
With the nearest neighbours (Å) after each atom.
Fractional coordinates of all 18 atoms:
Ga  0.6846  0.4712  0.7391  5 Ag 2.79-3.04, 1 Ga 2.85, 4 Cd 2.90-3.01
Cd  0.1302  0.6032  0.8332  5 Ag 2.96-3.01, 3 Ga 2.97-3.01, 2 Cd 3.01-3.13
Cd  0.4773  0.9342  0.1846  1 Ga 2.90, 5 Ag 2.99-3.11, 4 Cd 2.99-3.10
Ag  0.0783  0.9647  0.6948  2 Ga 2.79-3.04, 8 Cd 2.97-3.11
Cd  0.5227  0.0658  0.8154  1 Ga 2.90, 5 Ag 2.99-3.11, 4 Cd 2.99-3.10
Ga  0.8154  0.2609  0.5288  5 Ag 2.79-3.04, 1 Ga 2.85, 4 Cd 2.90-3.01
Cd  0.9773  0.1846  0.9342  1 Ga 2.90, 5 Ag 2.99-3.11, 4 Cd 2.99-3.10
Ga  0.3154  0.5288  0.2609  5 Ag 2.79-3.04, 1 Ga 2.85, 4 Cd 2.90-3.01
Cd  0.0227  0.8154  0.0658  1 Ga 2.90, 5 Ag 2.99-3.11, 4 Cd 2.99-3.10
Cd  0.6302  0.8332  0.6032  5 Ag 2.96-3.01, 3 Ga 2.97-3.01, 2 Cd 3.01-3.13
Ag  0.4217  0.3052  0.0353  2 Ga 2.79-3.04, 8 Cd 2.97-3.11
Cd  0.3698  0.1668  0.3968  5 Ag 2.96-3.01, 3 Ga 2.97-3.01, 2 Cd 3.01-3.13
Cd  0.8698  0.3968  0.1668  5 Ag 2.96-3.01, 3 Ga 2.97-3.01, 2 Cd 3.01-3.13
Ag  0.9217  0.0353  0.3052  2 Ga 2.79-3.04, 8 Cd 2.97-3.11
Ag  0.7500  0.6142  0.3858  6 Ga 2.90-3.03, 4 Cd 2.96-3.06
Ag  0.2500  0.3858  0.6142  6 Ga 2.90-3.03, 4 Cd 2.96-3.06
Ag  0.5783  0.6948  0.9647  2 Ga 2.79-3.04, 8 Cd 2.97-3.11
Ga  0.1846  0.7391  0.4712  5 Ag 2.79-3.04, 1 Ga 2.85, 4 Cd 2.90-3.01

- magnetic moment (μB/atom) = 0.0000
- Fermi-level density of states (states/eV per cell) = 4.0

Relative energies with respect to the most stable structure, expressed in kJ/mol of atoms: *one* 0.0; *two* 1.2.